AlTeI2F: optimized geometry, PBE.

## Properties
Offset from the most stable computed form   20 meV/atom

a = 5.4482 Å, b = 5.4482 Å, c = 5.3782 Å
α = 90.00°, β = 90.00°, γ = 90.00°
Space group P4/mmm (No. 123)
Unique sites:
Al1 0.0000 0.0000 0.0000 [1 per cell]
Te1 0.0000 0.0000 0.5000 [1 per cell]
I1 0.0000 0.5000 0.0000 [2 per cell]
F1 0.5000 0.5000 0.5000 [1 per cell]

=====

AlTe2IF: optimized geometry, PBE.

## Properties
Offset from the most stable computed form   0 meV/atom

a = 4.6820 Å, b = 4.6820 Å, c = 6.9781 Å
α = 90.00°, β = 90.00°, γ = 90.00°
Space group P4/mmm (No. 123)
Unique sites:
Al1 0.0000 0.0000 0.0000 [1 per cell]
Te1 0.0000 0.5000 0.5000 [2 per cell]
I1 0.5000 0.5000 0.0000 [1 per cell]
F1 0.5000 0.5000 0.5000 [1 per cell]

=====

AlTl2IF: optimized geometry, PBE.

a = 6.1233 Å, b = 6.1233 Å, c = 4.0453 Å
α = 90.00°, β = 90.00°, γ = 90.00°
Space group P4/mmm (No. 123)
Unique sites:
Al1 0.0000 0.0000 0.0000 [1 per cell]
Tl1 0.0000 0.5000 0.5000 [2 per cell]
I1 0.5000 0.5000 0.0000 [1 per cell]
F1 0.0000 0.0000 0.5000 [1 per cell]

=====

Al2InF6: optimized geometry, PBE.

a = 13.8116 Å, b = 8.7325 Å, c = 5.4701 Å
α = 90.00°, β = 106.01°, γ = 90.00°
Space group C2/c (No. 15)
Unique sites:
Al1 0.2131 0.0942 0.4768 [8 per cell]
In1 0.0000 0.4435 0.2500 [4 per cell]
F1 0.1442 0.0020 0.6812 [8 per cell]
F2 0.1840 0.4819 0.9447 [8 per cell]
F3 0.2494 0.2490 0.2921 [8 per cell]

=====

AlIn2F6: optimized geometry, PBE.

a = 9.8271 Å, b = 16.1028 Å, c = 4.4858 Å
α = 90.00°, β = 105.14°, γ = 90.00°
Space group C2/c (No. 15)
Unique sites:
Al1 0.0000 0.1975 0.2500 [4 per cell]
In1 0.1582 0.4092 0.7946 [8 per cell]
F1 0.1012 0.2579 0.5310 [8 per cell]
F2 0.1080 0.1351 0.1011 [8 per cell]
F3 0.1986 0.4466 0.3318 [8 per cell]

=====

Al2InF8: optimized geometry, PBE.

a = 9.8110 Å, b = 5.8055 Å, c = 5.2183 Å
α = 90.00°, β = 96.03°, γ = 90.00°
Space group C2/m (No. 12)
Unique sites:
Al1 0.2251 0.0000 0.4910 [4 per cell]
In1 0.0000 0.5000 0.0000 [2 per cell]
F1 0.1165 0.0000 0.7267 [4 per cell]
F2 0.1492 0.2788 0.3456 [8 per cell]
F3 0.1779 0.5000 0.7811 [4 per cell]

=====

AlIn2F5: optimized geometry, PBE.

## Properties
Offset from the most stable computed form   0 meV/atom

a = 13.7655 Å, b = 5.3530 Å, c = 7.2774 Å
α = 90.00°, β = 95.31°, γ = 90.00°
Space group C2/c (No. 15)
Unique sites:
Al1 0.0000 0.0000 0.0000 [4 per cell]
In1 0.1667 0.4815 0.3310 [8 per cell]
F1 0.0000 0.1022 0.2500 [4 per cell]
F2 0.0644 0.2865 0.5701 [8 per cell]
F3 0.1160 0.1563 0.9866 [8 per cell]

=====

AlIn2F2: optimized geometry, PBE.

## Properties
Offset from the most stable computed form   190 meV/atom

a = 7.7890 Å, b = 7.7890 Å, c = 2.9982 Å
α = 90.00°, β = 90.00°, γ = 90.00°
Space group P4/mbm (No. 127)
Unique sites:
Al1 0.0000 0.0000 0.0000 [2 per cell]
In1 0.1631 0.3369 0.5000 [4 per cell]
F1 0.1161 0.6161 0.0000 [4 per cell]

=====

no.,E_form (uncorrected) (kJ per mole of atoms),magnetic moment (μB/f.u.)
1,-5.2,1.1
2,-0.5,0.0
3,-62.9,0.0
4,-268.3,0.0
5,-249.7,0.0
6,-284.7,0.8
7,-252.5,0.0
8,-97.3,0.0